Density functional theory data (PBE) for a geometry-optimized V2RhBr2 structure.

Unit cell a=4.2909 b=4.2909 c=9.9361 alpha=90.00 beta=90.00 gamma=90.00
Closest atoms and distances in Å follow each position.
Space group I4/mmm (No. 139)
Unique sites:
V 0.0000 0.0000 0.0985  1 V 1.96
Rh 0.0000 0.0000 0.5000  8 V 3.19, 8 Br 3.28
Br 0.0000 0.5000 0.2500  4 V 2.62

Calculated values
Final energy, eV for the cell shown: -52.41
Crystal system: tetragonal
Uncorrected formation energy, eV per atom: 0.5457
Offset from the most stable computed form, eV per atom: 0.055

Density functional theory data (PBE) for a geometry-optimized K3Ca5H12 structure.

Unit cell a=14.4759 b=14.4759 c=14.4759 alpha=90.00 beta=90.00 gamma=90.00
Closest atoms and distances in Å follow each position.
Space group Ia-3d (No. 230)
Unique sites:
K 0.0000 0.2500 0.1250  8 H 2.80-2.94
Ca 0.0000 0.0000 0.0000  6 H 2.27
Ca 0.0000 0.2500 0.3750  4 H 2.17
H 0.0299 0.0503 0.6455  2 Ca 2.17-2.27

Calculated values
Final energy, eV for the cell shown: -478.02
Crystal system: cubic

Density functional theory data (PBE) for a geometry-optimized La2TbIr structure.

Unit cell a=3.9610 b=12.0236 c=10.0354 alpha=90.00 beta=90.00 gamma=90.00
Closest atoms and distances in Å follow each position.
Space group Cmcm (No. 63)
Unique sites:
La 0.0000 0.1391 0.0682  2 Ir 2.93
Tb 0.0000 0.4128 0.2500  2 Ir 2.91
Ir 0.0000 0.2647 0.7500  2 Tb 2.91, 4 La 2.93

Calculated values
Final energy, eV for the cell shown: -100.59
Crystal system: orthorhombic
Energy of formation from the pure elements, meV/atom: -451
Offset from the most stable computed form, eV per atom: 0.045

Density functional theory data (PBE) for a geometry-optimized U2Co5Ge2 structure.

Unit cell a=11.1781 b=4.0853 c=6.8118 alpha=90.00 beta=109.09 gamma=90.00
Closest atoms and distances in Å follow each position.
Space group C2/m (No. 12)
Unique sites:
U 0.1181 0.0000 0.2843  3 Co 2.26-2.32
Co 0.0000 0.5000 0.0000  2 Ge 2.36
Co 0.0968 0.5000 0.4311  2 Ge 2.31-2.44, 2 U 2.32
Co 0.1625 0.0000 0.9832  1 U 2.26, 3 Ge 2.38-2.42
Ge 0.1258 0.5000 0.7821  6 Co 2.31-2.44

Calculated values
Final energy, eV for the cell shown: -136.36
Crystal system: monoclinic
Energy of formation from the pure elements, meV/atom: -93

Density functional theory data (PBE) for a geometry-optimized Tm4GeTe2S structure.

Unit cell a=7.0637 b=4.1150 c=7.3591 alpha=90.00 beta=109.03 gamma=90.00
Closest atoms and distances in Å follow each position.
Space group P2/m (No. 10)
Unique sites:
Tm 0.2367 0.0000 0.2100  1 Ge 2.78, 2 S 2.78, 3 Te 3.11
Tm 0.2622 0.5000 0.7853  2 Ge 2.80, 1 S 2.80, 3 Te 3.09
Ge 0.5000 0.0000 0.0000  6 Tm 2.78-2.80
Te 0.0000 0.0000 0.5000  6 Tm 3.09-3.11
Te 0.5000 0.5000 0.5000  6 Tm 3.09-3.11
S 0.0000 0.5000 0.0000  6 Tm 2.78-2.80

Calculated values
Final energy, eV for the cell shown: -43.95
Crystal system: monoclinic
Uncorrected formation energy, eV per atom: -1.3791

Density functional theory data (PBE) for a geometry-optimized LaTe2Os structure.

Unit cell a=5.7130 b=5.7130 c=15.7917 alpha=90.00 beta=90.00 gamma=90.00
Closest atoms and distances in Å follow each position.
Space group I-42d (No. 122)
Unique sites:
La 0.0000 0.0000 0.0000  4 Te 3.09
Te 0.1680 0.2500 0.6250  2 Os 2.62
Os 0.0000 0.0000 0.5000  4 Te 2.62

Calculated values
Final energy, eV for the cell shown: -90.46
Crystal system: tetragonal
Uncorrected formation energy, eV per atom: -0.0436
Offset from the most stable computed form, eV per atom: 0.390

Density functional theory data (PBE) for a geometry-optimized Cs2TbNp2Te6 structure.

Unit cell a=7.7531 b=13.4422 c=9.5086 alpha=90.00 beta=105.69 gamma=90.00
Closest atoms and distances in Å follow each position.
Space group C2/m (No. 12)
Unique sites:
Cs 0.0000 0.1657 0.0000  6 Te 3.86
Tb 0.0000 0.0000 0.5000  6 Te 3.11-3.13
Np 0.0000 0.3330 0.5000  6 Te 3.09-3.11
Te 0.2250 0.5000 0.6876  2 Np 3.10, 1 Tb 3.13
Te 0.2307 0.1670 0.6879  2 Np 3.09-3.11, 1 Tb 3.11

Calculated values
Final energy, eV for the cell shown: -124.38
Crystal system: monoclinic
Uncorrected formation energy, eV per atom: -1.0109

Density functional theory data (PBE) for a geometry-optimized KBa3Zn structure.

Unit cell a=7.0809 b=7.0809 c=7.0809 alpha=90.00 beta=90.00 gamma=90.00
Closest atoms and distances in Å follow each position.
Space group Pm-3m (No. 221)
Unique sites:
K 0.0000 0.0000 0.0000  6 Ba 3.54
Ba 0.0000 0.0000 0.5000  2 K 3.54
Zn 0.5000 0.5000 0.5000  12 Ba 5.01

Calculated values
Final energy, eV for the cell shown: -4.35
Crystal system: cubic
Energy of formation from the pure elements, meV/atom: 758
Offset from the most stable computed form, eV per atom: 0.754